## LiNd2H6Ru (GGA-PBE)

Data for a relaxed structure of LiNd2H6Ru.

a = 4.968 Å, b = 5.057 Å, c = 5.057 Å
α = 120.00°, β = 90.00°, γ = 90.00°
Fractional positions:
H1 0.222 0.838 0.676
H2 0.778 0.162 0.838
H3 0.778 0.162 0.324
H4 0.778 0.676 0.838
H5 0.222 0.324 0.162
H6 0.222 0.838 0.162
Ru1 0.000 0.000 0.000
Nd1 0.239 0.333 0.667
Nd2 0.761 0.667 0.333
Li1 0.500 0.000 0.000

Properties
Fermi-level density of states: 3.48 states/eV per cell
ρ: 6.076 g/cm3
total DFT energy (no corrections): -4.477 eV per atom